The following is a GGA-PBE calculation of crystalline ZnReIr2 at its relaxed geometry, from Alexandria.

a b c (Å): 3.9405 3.9405 7.4814
angles (deg): 90.00 90.00 90.00
With the nearest neighbours (Å) after each atom.
Space group I4/mmm (No. 139)
Symmetry-distinct sites (fractional):
Zn (0.0000, 0.0000, 0.0000) [2 per cell]  8 Ir 2.72, 4 Re 2.79
Re (0.0000, 0.0000, 0.5000) [2 per cell]  8 Ir 2.72, 4 Zn 2.79
Ir (0.0000, 0.5000, 0.2500) [4 per cell]  4 Re 2.72, 4 Zn 2.72, 4 Ir 2.79

## Properties
* energy relative to the lowest polymorph listed for this composition: 0.975 eV/f.u.
* calculated volume: 14.521 A^3/atom
* formation energy: 9 meV per atom
* electronic total energy: -31.41 eV/f.u.
* Fermi-level density of states: 0.85 states/eV/atom

=====

The following is a GGA-PBE calculation of crystalline ZnReIr2 at its relaxed geometry, from Alexandria.

a b c (Å): 6.1833 6.1833 6.1833
angles (deg): 90.00 90.00 90.00
With the nearest neighbours (Å) after each atom.
Space group Fm-3m (No. 225)
Symmetry-distinct sites (fractional):
Zn (0.0000, 0.0000, 0.0000) [4 per cell]  8 Ir 2.68
Re (0.0000, 0.0000, 0.5000) [4 per cell]  8 Ir 2.68
Ir (0.2500, 0.2500, 0.2500) [8 per cell]  4 Re 2.68, 4 Zn 2.68

## Properties
* energy relative to the lowest polymorph listed for this composition: 1.974 eV/f.u.
* calculated volume: 14.776 A^3/atom
* formation energy: 258 meV per atom
* electronic total energy: -30.41 eV/f.u.
* Fermi-level density of states: 1.77 states/eV/atom

=====

The following is a GGA-PBE calculation of crystalline Zn2ReIr at its relaxed geometry, from Alexandria.

a b c (Å): 2.7778 3.7773 5.5338
angles (deg): 90.00 90.06 90.00
With the nearest neighbours (Å) after each atom.
Space group Pm (No. 6)
Symmetry-distinct sites (fractional):
Zn (0.0000, 0.0000, 0.0000) [1 per cell]  6 Zn 2.65-2.78, 2 Re 2.75-2.78, 4 Ir 2.80-2.81
Zn (0.4980, 0.5000, 0.7740) [1 per cell]  6 Zn 2.65-2.78, 2 Ir 2.75-2.78, 4 Re 2.80
Re (0.9984, 0.0000, 0.4973) [1 per cell]  4 Ir 2.64, 6 Zn 2.75-2.80, 2 Re 2.78
Ir (0.4981, 0.5000, 0.2772) [1 per cell]  4 Re 2.64, 6 Zn 2.75-2.81, 2 Ir 2.78

## Properties
* energy relative to the lowest polymorph listed for this composition: 0.348 eV/f.u.
* calculated volume: 14.516 A^3/atom
* formation energy: 14 meV per atom
* electronic total energy: -23.80 eV/f.u.
* Fermi-level density of states: 0.48 states/eV/atom

=====

The following is a GGA-PBE calculation of crystalline Zn2ReIr at its relaxed geometry, from Alexandria.

a b c (Å): 2.7973 4.7028 9.0481
angles (deg): 90.00 90.00 90.00
With the nearest neighbours (Å) after each atom.
Space group Cmm2 (No. 35)
Symmetry-distinct sites (fractional):
Zn (0.0000, 0.0000, 0.0000) [2 per cell]  2 Ir 2.64, 8 Zn 2.66-2.80
Zn (0.0000, 0.5000, 0.2496) [2 per cell]  8 Zn 2.66-2.80, 2 Re 2.69
Re (0.0000, 0.0000, 0.5037) [2 per cell]  2 Ir 2.65, 2 Zn 2.69, 6 Re 2.74-2.80
Ir (0.0000, 0.5000, 0.7523) [2 per cell]  2 Zn 2.64, 2 Re 2.65, 6 Ir 2.74-2.80

## Properties
* energy relative to the lowest polymorph listed for this composition: 0.907 eV/f.u.
* calculated volume: 14.879 A^3/atom
* formation energy: 154 meV per atom
* electronic total energy: -23.24 eV/f.u.
* Fermi-level density of states: 0.76 states/eV/atom

=====

The following is a GGA-PBE calculation of crystalline Zn2ReIr at its relaxed geometry, from Alexandria.

a b c (Å): 2.9135 4.5796 8.7358
angles (deg): 90.00 90.00 90.00
With the nearest neighbours (Å) after each atom.
Space group Cmmm (No. 65)
Symmetry-distinct sites (fractional):
Zn (0.0000, 0.0000, 0.2453) [4 per cell]  2 Ir 2.59, 2 Re 2.66, 4 Zn 2.71
Re (0.0000, 0.5000, 0.5000) [2 per cell]  4 Zn 2.66, 6 Re 2.71-2.91
Ir (0.0000, 0.5000, 0.0000) [2 per cell]  4 Zn 2.59, 4 Ir 2.71

## Properties
* energy relative to the lowest polymorph listed for this composition: 0.768 eV/f.u.
* calculated volume: 14.570 A^3/atom
* formation energy: 120 meV per atom
* electronic total energy: -23.38 eV/f.u.
* Fermi-level density of states: 0.55 states/eV/atom

=====

The following is a GGA-PBE calculation of crystalline ZnReIr2 at its relaxed geometry, from Alexandria.

a b c (Å): 5.8195 5.8195 10.3104
angles (deg): 90.00 90.00 90.00
With the nearest neighbours (Å) after each atom.
Space group I-42d (No. 122)
Symmetry-distinct sites (fractional):
Zn (0.0000, 0.0000, 0.0000) [4 per cell]  4 Ir 2.47
Re (0.0000, 0.0000, 0.5000) [4 per cell]  4 Ir 2.38
Ir (0.2370, 0.2500, 0.6250) [8 per cell]  2 Re 2.38, 2 Zn 2.47

## Properties
* energy relative to the lowest polymorph listed for this composition: 4.721 eV/f.u.
* calculated volume: 21.824 A^3/atom
* formation energy: 945 meV per atom
* electronic total energy: -27.66 eV/f.u.
* Fermi-level density of states: 1.30 states/eV/atom

=====

The following is a GGA-PBE calculation of crystalline ZnReIr2 at its relaxed geometry, from Alexandria.

a b c (Å): 2.7864 4.7133 9.0562
angles (deg): 90.00 90.00 90.00
With the nearest neighbours (Å) after each atom.
Space group Cmmm (No. 65)
Symmetry-distinct sites (fractional):
Zn (0.0000, 0.0000, 0.0000) [2 per cell]  4 Ir 2.65, 6 Zn 2.74-2.79
Re (0.0000, 0.0000, 0.5000) [2 per cell]  4 Ir 2.67, 6 Re 2.74-2.79
Ir (0.0000, 0.5000, 0.2483) [4 per cell]  2 Zn 2.65, 2 Re 2.67, 6 Ir 2.74-2.79

## Properties
* energy relative to the lowest polymorph listed for this composition: 1.496 eV/f.u.
* calculated volume: 14.867 A^3/atom
* formation energy: 139 meV per atom
* electronic total energy: -30.89 eV/f.u.
* Fermi-level density of states: 1.05 states/eV/atom

=====

The following is a GGA-PBE calculation of crystalline Zn2ReIr at its relaxed geometry, from Alexandria.

a b c (Å): 8.9418 2.7604 4.7505
angles (deg): 90.00 97.87 90.00
With the nearest neighbours (Å) after each atom.
Space group Cm (No. 8)
Symmetry-distinct sites (fractional):
Zn (0.0000, 0.0000, 0.0000) [2 per cell]  5 Zn 2.53-2.76, 4 Ir 2.74-2.76, 1 Re 2.78
Zn (0.2448, 0.0000, 0.7902) [2 per cell]  5 Zn 2.53-2.76, 4 Re 2.74-2.75, 1 Ir 2.79
Re (0.2521, 0.5000, 0.2938) [2 per cell]  3 Ir 2.62-2.64, 7 Zn 2.74-2.84, 2 Re 2.76
Ir (0.4942, 0.0000, 0.4964) [2 per cell]  3 Re 2.62-2.64, 7 Zn 2.74-2.83, 2 Ir 2.76

## Properties
* energy relative to the lowest polymorph listed for this composition: 0.552 eV/f.u.
* calculated volume: 14.519 A^3/atom
* formation energy: 66 meV per atom
* electronic total energy: -23.59 eV/f.u.
* Fermi-level density of states: 0.55 states/eV/atom

=====

The following is a GGA-PBE calculation of crystalline Zn2ReIr at its relaxed geometry, from Alexandria.

a b c (Å): 2.7829 2.7829 7.5568
angles (deg): 90.00 90.00 90.00
With the nearest neighbours (Å) after each atom.
Space group P4mm (No. 99)
Symmetry-distinct sites (fractional):
Zn (0.0000, 0.0000, 0.0000) [1 per cell]  4 Re 2.76, 8 Zn 2.78
Zn (0.5000, 0.5000, 0.2605) [1 per cell]  4 Ir 2.73, 8 Zn 2.78
Re (0.5000, 0.5000, 0.7448) [1 per cell]  4 Ir 2.65, 4 Zn 2.76, 4 Re 2.78
Ir (0.0000, 0.0000, 0.5101) [1 per cell]  4 Re 2.65, 4 Zn 2.73, 4 Ir 2.78

## Properties
* energy relative to the lowest polymorph listed for this composition: 0.000 eV/f.u.
* calculated volume: 14.630 A^3/atom
* formation energy: -72 meV per atom
* electronic total energy: -24.15 eV/f.u.
* Fermi-level density of states: 0.55 states/eV/atom

=====

The following is a GGA-PBE calculation of crystalline ZnReIr2 at its relaxed geometry, from Alexandria.

a b c (Å): 2.7895 2.7895 7.4312
angles (deg): 90.00 90.00 90.00
With the nearest neighbours (Å) after each atom.
Space group P4/mmm (No. 123)
Symmetry-distinct sites (fractional):
Zn (0.0000, 0.0000, 0.0000) [1 per cell]  8 Ir 2.72, 4 Zn 2.79
Re (0.0000, 0.0000, 0.5000) [1 per cell]  8 Ir 2.70, 4 Re 2.79
Ir (0.5000, 0.5000, 0.2528) [2 per cell]  4 Re 2.70, 4 Zn 2.72, 4 Ir 2.79

## Properties
* energy relative to the lowest polymorph listed for this composition: 0.000 eV/f.u.
* calculated volume: 14.456 A^3/atom
* formation energy: -235 meV per atom
* electronic total energy: -32.38 eV/f.u.
* Fermi-level density of states: 0.56 states/eV/atom

=====

The following is a GGA-PBE calculation of crystalline ZnReIr2 at its relaxed geometry, from Alexandria.

a b c (Å): 2.7523 2.7523 7.6815
angles (deg): 90.00 90.00 90.00
With the nearest neighbours (Å) after each atom.
Space group P4mm (No. 99)
Symmetry-distinct sites (fractional):
Zn (0.0000, 0.0000, 0.0000) [1 per cell]  4 Ir 2.69, 4 Zn 2.75, 4 Re 2.79
Re (0.5000, 0.5000, 0.7398) [1 per cell]  4 Ir 2.68, 4 Re 2.75, 4 Zn 2.79
Ir (0.0000, 0.0000, 0.5003) [1 per cell]  4 Re 2.68, 8 Ir 2.75-2.78
Ir (0.5000, 0.5000, 0.2420) [1 per cell]  4 Zn 2.69, 8 Ir 2.75-2.78

## Properties
* energy relative to the lowest polymorph listed for this composition: 1.119 eV/f.u.
* calculated volume: 14.547 A^3/atom
* formation energy: 45 meV per atom
* electronic total energy: -31.27 eV/f.u.
* Fermi-level density of states: 1.24 states/eV/atom

=====

The following is a GGA-PBE calculation of crystalline ZnReIr2 at its relaxed geometry, from Alexandria.

a b c (Å): 2.7617 2.7617 26.6162
angles (deg): 90.00 90.00 120.00
With the nearest neighbours (Å) after each atom.
Space group R3m (No. 160, hexagonal axes)
Symmetry-distinct sites (fractional):
Zn (0.0000, 0.0000, 0.0000) [3 per cell]  3 Ir 2.69, 6 Zn 2.76, 3 Re 2.79
Re (0.0000, 0.0000, 0.7526) [3 per cell]  3 Ir 2.65, 6 Re 2.76, 3 Zn 2.79
Ir (0.0000, 0.0000, 0.2519) [3 per cell]  3 Zn 2.69, 9 Ir 2.76-2.80
Ir (0.0000, 0.0000, 0.4988) [3 per cell]  3 Re 2.65, 9 Ir 2.76-2.80

## Properties
* energy relative to the lowest polymorph listed for this composition: 1.017 eV/f.u.
* calculated volume: 14.650 A^3/atom
* formation energy: 19 meV per atom
* electronic total energy: -31.37 eV/f.u.
* Fermi-level density of states: 1.57 states/eV/atom

=====

Q: What is the calculated volume in the first record?
A: 14.521 A^3/atom

=====

Q: Which of these has the lowest calculated volume?
A: number 10